First-principles (PBE) data for a relaxed K2CdSb crystal, as listed in the Alexandria database.

Cell and atoms, written as POSCAR:
```
K2CdSb
1.0
5.9651 -0.0440 0.0000
1.0339 5.8750 0.0000
-3.4995 -2.9155 3.8520
Cd K Sb
1 2 1
Cartesian
2.9826 -0.0220 1.9260
0.0000 0.0000 0.0000
0.5169 2.9375 1.9260
3.4995 2.9155 0.0000
```

Calculated values
Its crystal system is tetragonal. Its space-group type is No. 119. Its size of the total moment is 0.0 μB/f.u. As for the formation energy without anion corrections: -0.20 eV per atom.